[1]
DFT (GGA-PBE) results for a geometry-optimized Co2TeOs structure. Values from VASP.

```
&SYSTEM
  ibrav = 0, nat = 8, ntyp = 3
/
ATOMIC_SPECIES
Co 58.93 Co.upf
Os 190.23 Os.upf
Te 127.60 Te.upf
ATOMIC_POSITIONS crystal
Co 0.375 0.342 0.750
Co 0.092 0.625 0.250
Co 0.658 0.125 0.250
Co 0.875 0.908 0.750
Os 0.750 0.250 0.500
Os 0.000 0.000 0.000
Te 0.500 0.500 0.000
Te 0.250 0.750 0.500
CELL_PARAMETERS angstrom
-1.120 -4.344 2.993
5.274 -0.865 0.719
1.976 0.548 6.394
```

Values from the calculation:
**Energy**: -6.3060 eV per atom
**ΔE_f (raw)**: 0.840 eV/atom
**Magnetization**: 0.0 μB per cell
**SG**: I-42d



[2]
DFT (GGA-PBE) results for a geometry-optimized Sr2AlBPt6 structure. Values from VASP.

```
&SYSTEM
  ibrav = 0, nat = 10, ntyp = 4
/
ATOMIC_SPECIES
Pt 195.08 Pt.upf
B 10.81 B.upf
Sr 87.62 Sr.upf
Al 26.98 Al.upf
ATOMIC_POSITIONS crystal
Pt 0.738 0.263 0.056
Pt 0.738 0.795 0.524
Pt 0.793 0.737 0.945
Pt 0.262 0.737 0.944
Pt 0.262 0.205 0.476
Pt 0.207 0.263 0.055
B 0.500 0.500 0.000
Sr 0.287 0.714 0.427
Sr 0.713 0.286 0.573
Al 0.000 0.000 0.000
CELL_PARAMETERS angstrom
5.848 0.008 0.010
-0.012 7.156 0.961
2.919 4.203 5.089
```

Values from the calculation:
**Energy**: -5.7703 eV per atom
**ΔE_f**: -0.77 eV/atom
**Magnetization**: 0.0 μB per cell
**SG**: C2/m



[3]
DFT (GGA-PBE) results for a geometry-optimized Sr2Cd2Sn structure. Values from VASP.

```
&SYSTEM
  ibrav = 0, nat = 10, ntyp = 3
/
ATOMIC_SPECIES
Cd 112.41 Cd.upf
Sn 118.71 Sn.upf
Sr 87.62 Sr.upf
ATOMIC_POSITIONS crystal
Cd 0.087 0.274 0.553
Cd 0.913 0.726 0.447
Cd 0.632 0.848 0.889
Cd 0.368 0.152 0.111
Sn 0.388 0.891 0.333
Sn 0.612 0.109 0.667
Sr 0.322 0.695 0.660
Sr 0.678 0.305 0.340
Sr 0.081 0.726 0.112
Sr 0.919 0.274 0.888
CELL_PARAMETERS angstrom
-3.729 -2.939 1.188
-2.547 -2.936 -5.174
5.244 -9.711 2.519
```

Values from the calculation:
**Energy**: -2.2891 eV per atom
**ΔE_f**: -0.45 eV/atom
**Magnetization**: 0.0 μB per cell
**SG**: C2/m



[4]
DFT (GGA-PBE) results for a geometry-optimized BaH6PbAu2 structure. Values from VASP.

```
&SYSTEM
  ibrav = 0, nat = 20, ntyp = 4
/
ATOMIC_SPECIES
Pb 207.20 Pb.upf
Au 196.97 Au.upf
H 1.01 H.upf
Ba 137.33 Ba.upf
ATOMIC_POSITIONS crystal
Pb 0.391 0.609 0.750
Pb 0.609 0.391 0.250
Au 0.653 0.817 0.278
Au 0.347 0.183 0.722
Au 0.183 0.347 0.222
Au 0.817 0.653 0.778
H 0.447 0.732 0.088
H 0.624 0.056 0.337
H 0.732 0.447 0.588
H 0.836 0.851 0.958
H 0.056 0.624 0.837
H 0.376 0.944 0.663
H 0.851 0.836 0.458
H 0.149 0.164 0.542
H 0.553 0.268 0.912
H 0.944 0.376 0.163
H 0.164 0.149 0.042
H 0.268 0.553 0.412
Ba 0.841 0.159 0.750
Ba 0.159 0.841 0.250
CELL_PARAMETERS angstrom
7.098 -0.543 0.198
-1.407 6.978 0.198
-1.444 -1.633 6.534
```

Values from the calculation:
**Energy**: -3.3143 eV per atom
**Magnetization**: 0.0 μB per cell
**SG**: C2/c



[5]
DFT (GGA-PBE) results for a geometry-optimized Tm4Tl3H structure. Values from VASP.

```
&SYSTEM
  ibrav = 0, nat = 16, ntyp = 3
/
ATOMIC_SPECIES
Tm 168.93 Tm.upf
Tl 204.38 Tl.upf
H 1.01 H.upf
ATOMIC_POSITIONS crystal
Tm 0.064 0.195 0.821
Tm 0.064 0.833 0.000
Tm 0.064 0.195 0.179
Tm 0.564 0.805 0.679
Tm 0.064 0.554 0.500
Tm 0.564 0.167 0.500
Tm 0.564 0.805 0.321
Tm 0.564 0.446 0.000
Tl 0.064 0.597 0.807
Tl 0.564 0.403 0.307
Tl 0.564 0.403 0.693
Tl 0.064 0.939 0.500
Tl 0.564 0.061 0.000
Tl 0.064 0.597 0.193
H 0.565 0.668 0.500
H 0.065 0.332 0.000
CELL_PARAMETERS angstrom
-1.582 -3.659 -1.521
3.720 -4.474 6.895
-8.779 1.439 5.670
```

Values from the calculation:
**Energy**: -3.8075 eV per atom
**Magnetization**: 0.0 μB per cell
**SG**: Pmmn



[6]
DFT (GGA-PBE) results for a geometry-optimized Re2Se4Br3 structure. Values from VASP.

```
&SYSTEM
  ibrav = 0, nat = 18, ntyp = 3
/
ATOMIC_SPECIES
Br 79.90 Br.upf
Re 186.21 Re.upf
Se 78.96 Se.upf
ATOMIC_POSITIONS crystal
Br 0.099 0.923 0.728
Br 0.401 0.272 0.077
Br 0.599 0.728 0.923
Br 0.750 0.422 0.578
Br 0.901 0.077 0.272
Br 0.250 0.578 0.422
Re 0.504 0.148 0.375
Re 0.004 0.375 0.148
Re 0.496 0.852 0.625
Re 0.996 0.625 0.852
Se 0.407 0.912 0.368
Se 0.182 0.279 0.407
Se 0.318 0.593 0.721
Se 0.093 0.632 0.088
Se 0.818 0.721 0.593
Se 0.907 0.368 0.912
Se 0.682 0.407 0.279
Se 0.593 0.088 0.632
CELL_PARAMETERS angstrom
-0.021 2.505 5.990
-1.611 -8.180 4.572
7.779 -4.522 3.075
```

Values from the calculation:
**Energy**: -5.0147 eV per atom
**ΔE_f (raw)**: -0.142 eV/atom
**Magnetization**: 0.0 μB per cell
**SG**: C2/c